1.
First-principles (PBE-GGA) data for a relaxed structure of LaCu2SnBr, as listed in Alexandria via LeMat-Bulk.

The volume comes out at 191 Å³ per cell. The value obtained for the formation energy (no corrections) is 0.8045 eV per atom. As for the mass density: 4.0 Mg/m³. Its electronic total energy is -2.95 eV per atom.

The space group is P4/mmm (No. 123) and the conventional cell measures 5.355, 5.355 and 6.661 Å, with angles of 90.00, 90.00 and 90.00 degrees. The asymmetric unit holds La at (0.000, 0.000, 0.000), Cu at (0.000, 0.500, 0.000), Sn at (0.000, 0.000, 0.500) and Br at (0.500, 0.500, 0.500).

2.
First-principles (PBE-GGA) data for a relaxed structure of Nd4AlAg2Hg, as listed in Alexandria via LeMat-Bulk.

The volume comes out at 648 Å³ per cell. As for the mass density: 7.8 Mg/m³. Its electronic total energy is -3.93 eV per atom. The value obtained for the formation energy is -326 meV/atom.

The space group is R-3m (No. 166, hexagonal axes) and the conventional cell measures 5.3332, 5.3332 and 26.2925 Å, with angles of 90.00, 90.00 and 120.00 degrees. The asymmetric unit holds Nd at (0.0000, 0.0000, 0.1238), Nd at (0.0000, 0.0000, 0.3744), Al at (0.0000, 0.0000, 0.0000), Ag at (0.0000, 0.0000, 0.2531) and Hg at (0.0000, 0.0000, 0.5000).

3.
First-principles (PBE-GGA) data for a relaxed structure of LiFeOs2, as listed in Alexandria via LeMat-Bulk.

The volume comes out at 54 Å³ per cell. Its offset from the most stable computed form is 176 meV per atom. As for the mass density: 13.8 Mg/m³. Its electronic total energy is -7.87 eV per atom. The value obtained for the formation energy is 343 meV/atom.

The space group is P4/mmm (No. 123) and the conventional cell measures 2.614, 2.614 and 7.834 Å, with angles of 90.00, 90.00 and 90.00 degrees. The asymmetric unit holds Li at (0.000, 0.000, 0.000), Fe at (0.000, 0.000, 0.500) and Os at (0.500, 0.500, 0.270).

4.
First-principles (PBE-GGA) data for a relaxed structure of CsSrCr2, as listed in Alexandria via LeMat-Bulk.

The volume comes out at 627 Å³ per cell. Its offset from the most stable computed form is 120 meV per atom. As for the mass density: 3.4 Mg/m³. Its electronic total energy is -4.13 eV per atom. The value obtained for the formation energy is 1313 meV/atom.

The space group is I-42d (No. 122) and the conventional cell measures 9.416, 9.416 and 7.077 Å, with angles of 90.00, 90.00 and 90.00 degrees. The asymmetric unit holds Cs at (0.000, 0.000, 0.000), Sr at (0.000, 0.000, 0.500) and Cr at (0.239, 0.750, 0.625).

Question: The lowest mass density belongs to which entry?
Answer: CsSrCr2